[1]
Entry from Alexandria: an optimized crystal structure of AcPu3O (GGA-PBE).

Results
The uncorrected formation energy comes out at -0.708 eV per atom. The symmetry is Pm-3m, No. 221. The density of states at the Fermi level is 22.5 states/eV/f.u.

abc: 5.029 5.029 5.029
angles: 90.00 90.00 90.00
Atoms (fractional coordinates):
Ac1 0.000 0.000 0.000
Pu1 0.000 0.500 0.500
Pu2 0.500 0.000 0.500
Pu3 0.500 0.500 0.000
O1 0.500 0.500 0.500

=====

[2]
Entry from Alexandria: an optimized crystal structure of Ac3PuO6 (GGA-PBE).

Results
The uncorrected formation energy comes out at -3.209 eV per atom. The symmetry is R-3, No. 148. The density of states at the Fermi level is 7.4 states/eV/f.u.

abc: 7.344 7.344 7.344
angles: 91.97 91.97 91.97
Atoms (fractional coordinates):
Ac1 0.057 0.563 0.753
Ac2 0.247 0.943 0.437
Ac3 0.437 0.247 0.943
Ac4 0.563 0.753 0.057
Ac5 0.753 0.057 0.563
Ac6 0.943 0.437 0.247
Pu1 0.000 0.000 0.000
Pu2 0.500 0.500 0.500
O1 0.033 0.904 0.695
O2 0.096 0.305 0.967
O3 0.193 0.591 0.439
O4 0.305 0.967 0.096
O5 0.409 0.561 0.807
O6 0.439 0.193 0.591
O7 0.561 0.807 0.409
O8 0.591 0.439 0.193
O9 0.695 0.033 0.904
O10 0.807 0.409 0.561
O11 0.904 0.695 0.033
O12 0.967 0.096 0.305

=====

[3]
Entry from Alexandria: an optimized crystal structure of Ac3PuO (GGA-PBE).

Results
The uncorrected formation energy comes out at -0.908 eV per atom. The symmetry is Pm-3m, No. 221. The density of states at the Fermi level is 16.4 states/eV/f.u.

abc: 5.375 5.375 5.375
angles: 90.00 90.00 90.00
Atoms (fractional coordinates):
Ac1 0.000 0.000 0.500
Ac2 0.000 0.500 0.000
Ac3 0.500 0.000 0.000
Pu1 0.500 0.500 0.500
O1 0.000 0.000 0.000

=====

Copy entry 1 word for word.
Entry from Alexandria: an optimized crystal structure of AcPu3O (GGA-PBE).

Results
The uncorrected formation energy comes out at -0.708 eV per atom. The symmetry is Pm-3m, No. 221. The density of states at the Fermi level is 22.5 states/eV/f.u.

abc: 5.029 5.029 5.029
angles: 90.00 90.00 90.00
Atoms (fractional coordinates):
Ac1 0.000 0.000 0.000
Pu1 0.000 0.500 0.500
Pu2 0.500 0.000 0.500
Pu3 0.500 0.500 0.000
O1 0.500 0.500 0.500